(1)
A relaxed structure of CeScBiTe. Source: Alexandria, functional GGA-PBE.

Unit cell a=7.618 b=7.618 c=7.618 alpha=33.38 beta=33.38 gamma=33.38
Atoms (fractional coordinates):
Ce (0.000, 0.000, 0.000)
Sc (0.499, 0.499, 0.499)
Bi (0.242, 0.242, 0.242)
Te (0.758, 0.758, 0.758)

## Properties
SG   No. 160
Total magnetization   1.18 Bohr magnetons per cell
Crystal system   trigonal
Uncorrected formation energy   -3.9 eV per formula unit

(2)
A relaxed structure of Li2SiSnS4. Source: Alexandria, functional GGA-PBE.

Unit cell a=9.083 b=6.418 c=6.009 alpha=90.00 beta=90.00 gamma=90.00
Atoms (fractional coordinates):
Li (0.249, 0.189, 0.000)
Li (0.251, 0.811, 0.500)
Li (0.749, 0.811, 0.500)
Li (0.751, 0.189, 0.000)
Si (0.000, 0.329, 0.517)
Si (0.500, 0.671, 0.017)
Sn (0.000, 0.720, 0.977)
Sn (0.500, 0.280, 0.477)
S (0.000, 0.318, 0.878)
S (0.000, 0.654, 0.427)
S (0.196, 0.182, 0.404)
S (0.304, 0.818, 0.904)
S (0.500, 0.346, 0.927)
S (0.500, 0.682, 0.378)
S (0.696, 0.818, 0.904)
S (0.804, 0.182, 0.404)

## Properties
SG   No. 31
Total magnetization   0.00 Bohr magnetons per cell
Crystal system   orthorhombic
Uncorrected formation energy   -7.2 eV per formula unit

(3)
A relaxed structure of YHo3. Source: Alexandria, functional GGA-PBE.

Unit cell a=3.534 b=4.998 c=7.074 alpha=90.00 beta=90.08 gamma=90.00
Atoms (fractional coordinates):
Y (0.000, 0.000, 0.000)
Ho (0.000, 0.000, 0.500)
Ho (0.500, 0.500, 0.251)
Ho (0.500, 0.500, 0.749)

## Properties
SG   No. 10
Total magnetization   0.00 Bohr magnetons per cell
Crystal system   monoclinic
Energy above the most stable polymorph in this dataset   19.0 meV/atom
Calculated formation energy   0.0211 eV per atom

(4)
A relaxed structure of Tc2AgSb. Source: Alexandria, functional GGA-PBE.

Unit cell a=3.014 b=4.280 c=5.623 alpha=90.00 beta=105.26 gamma=90.00
Atoms (fractional coordinates):
Tc (0.120, 0.000, 0.227)
Tc (0.880, 0.000, 0.773)
Ag (0.500, 0.500, 0.000)
Sb (0.000, 0.500, 0.500)

## Properties
SG   No. 10
Total magnetization   0.00 Bohr magnetons per cell
Crystal system   monoclinic
Uncorrected formation energy   2.1 eV per formula unit

(5)
A relaxed structure of Pm15Ho4In. Source: Alexandria, functional GGA-PBE.

Unit cell a=5.073 b=5.073 c=25.583 alpha=90.00 beta=90.00 gamma=90.00
Atoms (fractional coordinates):
Pm (0.000, 0.000, 0.000)
Pm (0.000, 0.000, 0.197)
Pm (0.000, 0.000, 0.399)
Pm (0.000, 0.000, 0.601)
Pm (0.000, 0.000, 0.803)
Pm (0.000, 0.500, 0.097)
Pm (0.000, 0.500, 0.299)
Pm (0.000, 0.500, 0.500)
Pm (0.000, 0.500, 0.701)
Pm (0.000, 0.500, 0.903)
Pm (0.500, 0.000, 0.097)
Pm (0.500, 0.000, 0.299)
Pm (0.500, 0.000, 0.500)
Pm (0.500, 0.000, 0.701)
Pm (0.500, 0.000, 0.903)
Ho (0.500, 0.500, 0.198)
Ho (0.500, 0.500, 0.400)
Ho (0.500, 0.500, 0.600)
Ho (0.500, 0.500, 0.802)
In (0.500, 0.500, 0.000)

## Properties
SG   No. 123
Total magnetization   0.00 Bohr magnetons per cell
Crystal system   tetragonal
Calculated formation energy   -0.0375 eV per atom

(6)
A relaxed structure of SrTa2W. Source: Alexandria, functional GGA-PBE.

Unit cell a=6.097 b=6.097 c=6.097 alpha=150.70 beta=126.13 gamma=62.50
Atoms (fractional coordinates):
Sr (0.000, 0.000, 0.000)
Ta (0.291, 0.791, 0.500)
Ta (0.709, 0.209, 0.500)
W (0.500, 0.500, 0.000)

## Properties
SG   No. 71
Total magnetization   0.00 Bohr magnetons per cell
Crystal system   orthorhombic
Energy above the most stable polymorph in this dataset   318.8 meV/atom
Calculated formation energy   0.8900 eV per atom

(7)
A relaxed structure of Co2SeBr. Source: Alexandria, functional GGA-PBE.

Unit cell a=3.980 b=3.980 c=6.873 alpha=117.82 beta=117.82 gamma=48.98
Atoms (fractional coordinates):
Co (0.127, 0.127, 0.340)
Co (0.873, 0.873, 0.660)
Se (0.500, 0.500, 0.500)
Br (0.500, 0.500, 0.000)

## Properties
SG   No. 12
Total magnetization   1.97 Bohr magnetons per cell
Crystal system   monoclinic
Energy above the most stable polymorph in this dataset   189.8 meV/atom
Uncorrected formation energy   0.5 eV per formula unit

(8)
A relaxed structure of Pm2Al5Cu2Pd. Source: Alexandria, functional GGA-PBE.

Unit cell a=9.596 b=9.596 c=3.964 alpha=90.00 beta=90.00 gamma=90.00
Atoms (fractional coordinates):
Pm (0.186, 0.314, 0.000)
Pm (0.314, 0.814, 0.000)
Pm (0.686, 0.186, 0.000)
Pm (0.814, 0.686, 0.000)
Al (0.000, 0.500, 0.500)
Al (0.051, 0.800, 0.500)
Al (0.200, 0.051, 0.500)
Al (0.300, 0.551, 0.500)
Al (0.449, 0.300, 0.500)
Al (0.500, 0.000, 0.500)
Al (0.551, 0.700, 0.500)
Al (0.700, 0.449, 0.500)
Al (0.800, 0.949, 0.500)
Al (0.949, 0.200, 0.500)
Cu (0.108, 0.608, 0.000)
Cu (0.392, 0.108, 0.000)
Cu (0.608, 0.892, 0.000)
Cu (0.892, 0.392, 0.000)
Pd (0.000, 0.000, 0.000)
Pd (0.500, 0.500, 0.000)

## Properties
SG   No. 127
Total magnetization   0.00 Bohr magnetons per cell
Crystal system   tetragonal
Calculated formation energy   -0.4928 eV per atom

(9)
A relaxed structure of PrTmTe2. Source: Alexandria, functional GGA-PBE.

Unit cell a=7.916 b=7.916 c=7.916 alpha=31.75 beta=31.75 gamma=31.75
Atoms (fractional coordinates):
Pr (0.000, 0.000, 0.000)
Tm (0.500, 0.500, 0.500)
Te (0.243, 0.243, 0.243)
Te (0.757, 0.757, 0.757)

## Properties
SG   No. 166
Total magnetization   0.00 Bohr magnetons per cell
Crystal system   trigonal
Energy above the most stable polymorph in this dataset   30.6 meV/atom
Uncorrected formation energy   -5.3 eV per formula unit

(10)
A relaxed structure of Na3Pr2MnS6. Source: Alexandria, functional GGA-PBE.

Unit cell a=6.939 b=6.939 c=7.070 alpha=99.22 beta=99.22 gamma=120.36
Atoms (fractional coordinates):
Na (0.000, 0.000, 0.000)
Na (0.333, 0.667, 0.000)
Na (0.667, 0.333, 0.000)
Pr (0.169, 0.831, 0.500)
Pr (0.831, 0.169, 0.500)
Mn (0.500, 0.500, 0.500)
S (0.111, 0.420, 0.268)
S (0.284, 0.284, 0.708)
S (0.420, 0.111, 0.268)
S (0.580, 0.889, 0.732)
S (0.716, 0.716, 0.292)
S (0.889, 0.580, 0.732)

## Properties
SG   No. 12
Total magnetization   4.00 Bohr magnetons per cell
Crystal system   monoclinic
Uncorrected formation energy   -16.7 eV per formula unit

(11)
A relaxed structure of NpGaAu2. Source: Alexandria, functional GGA-PBE.

Unit cell a=4.619 b=4.619 c=4.017 alpha=90.00 beta=90.00 gamma=90.00
Atoms (fractional coordinates):
Np (0.000, 0.000, 0.000)
Ga (0.500, 0.500, 0.000)
Au (0.000, 0.500, 0.500)
Au (0.500, 0.000, 0.500)

## Properties
SG   No. 123
Total magnetization   4.22 Bohr magnetons per cell
Crystal system   tetragonal
Calculated formation energy   -0.0439 eV per atom

(12)
A relaxed structure of KUCl14. Source: Alexandria, functional GGA-PBE.

Unit cell a=8.071 b=8.071 c=8.576 alpha=99.51 beta=99.51 gamma=104.29
Atoms (fractional coordinates):
K (0.000, 0.000, 0.000)
U (0.347, 0.653, 0.000)
Cl (0.018, 0.546, 0.024)
Cl (0.023, 0.977, 0.500)
Cl (0.170, 0.671, 0.733)
Cl (0.293, 0.338, 0.863)
Cl (0.329, 0.830, 0.267)
Cl (0.353, 0.419, 0.229)
Cl (0.454, 0.982, 0.976)
Cl (0.461, 0.539, 0.500)
Cl (0.581, 0.647, 0.771)
Cl (0.662, 0.707, 0.137)
Cl (0.687, 0.047, 0.606)
Cl (0.738, 0.182, 0.216)
Cl (0.818, 0.262, 0.784)
Cl (0.953, 0.313, 0.394)

## Properties
SG   No. 5
Total magnetization   1.12 Bohr magnetons per cell
Crystal system   monoclinic
Uncorrected formation energy   -11.9 eV per formula unit